Computed, not measured: a relaxed NaMg2WO6 crystal at the PBE+U level of DFT.

Unit cell a=9.7573 b=11.6854 c=6.4087 alpha=90.00 beta=118.86 gamma=90.00
Space group C2/c (No. 15)
Inequivalent atoms, fractional coordinates:
Na (0.0000, 0.1078, 0.2500)
Mg (0.1233, 0.4240, 0.1529)
W (0.0000, 0.1789, 0.7500)
O (0.1023, 0.2610, 0.0220)
O (0.1113, 0.4453, 0.4458)
O (0.1289, 0.0843, 0.6979)

## Properties
Spin magnetization   1.1 μB/f.u.
Crystal system   monoclinic
Total energy   -6.1406 eV per atom